VASP calculation (PBE-GGA) on a relaxed Ba3Y2F12 crystal.

## Properties
E_form (uncorrected) ... -3.95 eV/atom
Density ... 4.47 g cm⁻³
Energy relative to the lowest polymorph listed for this composition ... 0.77 eV per formula unit
N(E_F) ... 0.00 states/eV per cell

a = 10.0154 Å, b = 11.0798 Å, c = 14.5778 Å
α = 90.00°, β = 131.36°, γ = 90.00°
With the nearest neighbours (Å) after each atom.
Space group P2_1/c (No. 14)
Symmetry-distinct sites (fractional):
Ba 0.1189 0.1162 0.4634 [4 per cell]  5 F 2.57-2.87
Ba 0.1787 0.0061 0.1922 [4 per cell]  7 F 2.59-2.90
Ba 0.2139 0.7474 0.9346 [4 per cell]  7 F 2.53-2.79
Y 0.2931 0.1300 0.8335 [4 per cell]  6 F 2.15-2.32
Y 0.4457 0.6928 0.2857 [4 per cell]  7 F 2.18-2.37
F 0.0910 0.1022 0.6361 [4 per cell]  1 Y 2.18
F 0.0949 0.6202 0.5107 [4 per cell]  3 Ba 2.56-2.67
F 0.1245 0.2130 0.2863 [4 per cell]  1 Y 2.19
F 0.1580 0.5046 0.3525 [4 per cell]  1 Y 2.15
F 0.1874 0.7501 0.2347 [4 per cell]  1 Y 2.26
F 0.2298 0.5298 0.8891 [4 per cell]  3 Ba 2.53-2.59
F 0.2396 0.6088 0.1038 [4 per cell]  1 Y 2.22
F 0.2638 0.1726 0.0861 [4 per cell]  1 Y 2.20
F 0.4632 0.2377 0.3245 [4 per cell]  2 Y 2.32-2.37
F 0.4646 0.5031 0.3484 [4 per cell]  2 Y 2.16-2.25
F 0.4827 0.1999 0.0236 [4 per cell]  2 Y 2.22-2.37
F 0.5004 0.1148 0.6752 [4 per cell]  1 Y 2.18